1.
## La3Tb12Tm (GGA-PBE)

Data for a relaxed structure of La3Tb12Tm.

Calculated values
Space-group type   P4/mmm
DOS(E_F)   1.5485 states/eV per atom
Magnetization   0.0 μB/f.u.
Calculated formation energy   0.0266 eV per atom

a b c (Å): 5.082 5.082 20.335
angles (deg): 90.00 90.00 90.00
Fractional positions:
La (0.000, 0.000, 0.000)
La (0.000, 0.000, 0.251)
La (0.000, 0.000, 0.749)
Tb (0.000, 0.500, 0.126)
Tb (0.000, 0.500, 0.379)
Tb (0.000, 0.500, 0.621)
Tb (0.000, 0.500, 0.874)
Tb (0.500, 0.000, 0.126)
Tb (0.500, 0.000, 0.379)
Tb (0.500, 0.000, 0.621)
Tb (0.500, 0.000, 0.874)
Tb (0.500, 0.500, 0.000)
Tb (0.500, 0.500, 0.253)
Tb (0.500, 0.500, 0.500)
Tb (0.500, 0.500, 0.747)
Tm (0.000, 0.000, 0.500)

2.
## CaRuRh (GGA-PBE)

Data for a relaxed structure of CaRuRh.

Calculated values
Space-group type   P-6m2
DOS(E_F)   1.3121 states/eV per atom
Magnetization   0.5 μB/f.u.
Calculated formation energy   0.2459 eV per atom
Distance to the lowest polymorph of the same formula   0.405 eV/atom

a b c (Å): 4.605 4.605 2.906
angles (deg): 90.00 90.00 120.00
Fractional positions:
Ca (0.000, 0.000, 0.000)
Ru (0.667, 0.333, 0.500)
Rh (0.333, 0.667, 0.500)

3.
## HfSnPt3 (GGA-PBE)

Data for a relaxed structure of HfSnPt3.

Calculated values
Space-group type   Pm-3m
DOS(E_F)   0.4526 states/eV per atom
Magnetization   0.0 μB/f.u.
Calculated formation energy   0.3792 eV per atom
Distance to the lowest polymorph of the same formula   0.000 eV/atom

a b c (Å): 4.978 4.978 4.978
angles (deg): 90.00 90.00 90.00
Fractional positions:
Hf (0.000, 0.000, 0.000)
Sn (0.500, 0.500, 0.500)
Pt (0.000, 0.000, 0.500)
Pt (0.000, 0.500, 0.000)
Pt (0.500, 0.000, 0.000)

4.
## AlBAs (GGA-PBE)

Data for a relaxed structure of AlBAs.

Calculated values
Space-group type   C2/m
DOS(E_F)   0.1391 states/eV per atom
Magnetization   0.0 μB/f.u.
Calculated formation energy   0.1837 eV per atom

a b c (Å): 5.877 3.336 9.735
angles (deg): 90.00 102.87 90.00
Fractional positions:
Al (0.200, 0.000, 0.102)
Al (0.300, 0.500, 0.898)
Al (0.700, 0.500, 0.102)
Al (0.800, 0.000, 0.898)
B (0.029, 0.500, 0.590)
B (0.471, 0.000, 0.410)
B (0.529, 0.000, 0.590)
B (0.971, 0.500, 0.410)
As (0.233, 0.000, 0.673)
As (0.267, 0.500, 0.327)
As (0.733, 0.500, 0.673)
As (0.767, 0.000, 0.327)

5.
## GdSi2Sn (GGA-PBE)

Data for a relaxed structure of GdSi2Sn.

Calculated values
E_form (uncorrected)   -1.0 eV per formula unit
Space-group type   P4/mmm
DOS(E_F)   0.4926 states/eV per atom
Magnetization   6.7 μB/f.u.

a b c (Å): 4.507 4.507 4.075
angles (deg): 90.00 90.00 90.00
Fractional positions:
Gd (0.000, 0.000, 0.000)
Si (0.000, 0.500, 0.500)
Si (0.500, 0.000, 0.500)
Sn (0.500, 0.500, 0.000)

6.
## Mg2SbF (GGA-PBE)

Data for a relaxed structure of Mg2SbF.

Calculated values
E_form (uncorrected)   -5.0 eV per formula unit
Space-group type   I-42d
DOS(E_F)   0.0448 states/eV per atom
Magnetization   0.0 μB/f.u.
Distance to the lowest polymorph of the same formula   0.220 eV/atom

a b c (Å): 5.410 5.410 12.123
angles (deg): 90.00 90.00 90.00
Fractional positions:
Mg (0.145, 0.250, 0.125)
Mg (0.250, 0.645, 0.375)
Mg (0.250, 0.855, 0.875)
Mg (0.355, 0.250, 0.625)
Mg (0.645, 0.750, 0.625)
Mg (0.750, 0.145, 0.875)
Mg (0.750, 0.355, 0.375)
Mg (0.855, 0.750, 0.125)
Sb (0.000, 0.000, 0.500)
Sb (0.000, 0.500, 0.750)
Sb (0.500, 0.000, 0.250)
Sb (0.500, 0.500, 0.000)
F (0.000, 0.000, 0.000)
F (0.000, 0.500, 0.250)
F (0.500, 0.000, 0.750)
F (0.500, 0.500, 0.500)

Number 1: V 32.82 Å³ per atom. Number 2: V 17.79 Å³ per atom. Number 3: V 24.67 Å³ per atom. Number 4: V 15.51 Å³ per atom. Number 5: V 20.69 Å³ per atom. Number 6: V 22.18 Å³ per atom.